(1)
First-principles (GGA-PBE) data for a relaxed MgCdPbC2 crystal, as listed in the Alexandria database.

## Properties
- Symmetry: P4/mmm
- Volume: 19.81 Å³/atom
- ΔE_f: 1933 meV/atom

abc: 4.3277 5.2889 4.3277
angles: 90.00 90.00 90.00
Closest atoms and distances in Å follow each position.
Fractional coordinates of all 5 atoms:
1 Mg 0.0000 0.0000 0.0000  4 C 2.16
2 Cd 0.0000 0.5000 0.0000  2 Mg 2.64
3 Pb 0.5000 0.5000 0.5000  4 Cd 3.06, 8 C 3.42
4 C 0.5000 0.0000 0.0000  2 Mg 2.16
5 C 0.0000 0.0000 0.5000  2 Mg 2.16

***

(2)
First-principles (GGA-PBE) data for a relaxed MgBe2Mo crystal, as listed in the Alexandria database.

## Properties
- Symmetry: C2/m
- Volume: 14.31 Å³/atom
- ΔE_f: 340 meV/atom

abc: 4.4240 4.4240 5.1550
angles: 81.85 81.85 35.00
Closest atoms and distances in Å follow each position.
Fractional coordinates of all 4 atoms:
1 Be 0.0020 0.0020 0.9214  2 Be 2.22, 1 Mo 2.42
2 Be 0.4980 0.4980 0.5786  2 Be 2.22, 1 Mo 2.42
3 Mg 0.2500 0.2500 0.2500  2 Mg 2.66, 6 Be 2.84-2.88, 4 Mo 2.90
4 Mo 0.7500 0.7500 0.7500  6 Be 2.42-2.53, 2 Mo 2.66

***

(3)
First-principles (GGA-PBE) data for a relaxed PrAs12Ru4 crystal, as listed in the Alexandria database.

## Properties
- Symmetry: Im-3
- Volume: 18.73 Å³/atom
- ΔE_f: -464 meV/atom

abc: 7.4504 7.4504 7.4504
angles: 109.47 109.47 109.47
Closest atoms and distances in Å follow each position.
Fractional coordinates of all 17 atoms:
1 Ru 0.0000 0.5000 0.0000  6 As 2.47
2 Ru 0.0000 0.0000 0.5000  6 As 2.47
3 Ru 0.5000 0.5000 0.5000  6 As 2.47
4 Ru 0.5000 0.0000 0.0000  6 As 2.47
5 As 0.3495 0.8497 0.1992  2 Ru 2.47, 2 As 2.59
6 As 0.1503 0.8008 0.6505  2 Ru 2.47, 2 As 2.59
7 As 0.4998 0.3495 0.1503  2 Ru 2.47, 2 As 2.59
8 As 0.5002 0.6505 0.8497  2 Ru 2.47, 2 As 2.59
9 As 0.8497 0.1992 0.3495  2 Ru 2.47, 2 As 2.59
10 As 0.1992 0.3495 0.8497  2 Ru 2.47, 2 As 2.59
11 As 0.3495 0.1503 0.4998  2 Ru 2.47, 2 As 2.59
12 As 0.8497 0.5002 0.6505  2 Ru 2.47, 2 As 2.59
13 As 0.8008 0.6505 0.1503  2 Ru 2.47, 2 As 2.59
14 As 0.6505 0.8497 0.5002  2 Ru 2.47, 2 As 2.59
15 As 0.6505 0.1503 0.8008  2 Ru 2.47, 2 As 2.59
16 As 0.1503 0.4998 0.3495  2 Ru 2.47, 2 As 2.59
17 Pr 0.0000 0.0000 0.0000  12 As 3.27

***

(4)
First-principles (GGA-PBE) data for a relaxed Ta2TlTe crystal, as listed in the Alexandria database.

## Properties
- Symmetry: C2/m
- Volume: 21.07 Å³/atom
- Energy above the most stable polymorph in this dataset: 0.364 eV/atom
- Uncorrected formation energy: 0.533 eV per atom

abc: 5.1107 5.1107 5.1759
angles: 83.08 83.08 38.95
Closest atoms and distances in Å follow each position.
Fractional coordinates of all 4 atoms:
1 Ta 0.4979 0.4979 0.4957  3 Te 2.85-3.10, 3 Tl 2.91-3.09, 4 Ta 3.06-3.14
2 Ta 0.0021 0.0021 0.0043  3 Te 2.85-3.10, 3 Tl 2.91-3.09, 4 Ta 3.06-3.14
3 Tl 0.7500 0.7500 0.7500  6 Ta 2.91-3.09, 4 Te 3.10
4 Te 0.2500 0.2500 0.2500  6 Ta 2.85-3.10, 4 Tl 3.10

***

Among the records above, which one has the lowest volume?
MgBe2Mo

***

What did the fourth record say?
First-principles (GGA-PBE) data for a relaxed Ta2TlTe crystal, as listed in the Alexandria database.

## Properties
- Symmetry: C2/m
- Volume: 21.07 Å³/atom
- Energy above the most stable polymorph in this dataset: 0.364 eV/atom
- Uncorrected formation energy: 0.533 eV per atom

abc: 5.1107 5.1107 5.1759
angles: 83.08 83.08 38.95
Closest atoms and distances in Å follow each position.
Fractional coordinates of all 4 atoms:
1 Ta 0.4979 0.4979 0.4957  3 Te 2.85-3.10, 3 Tl 2.91-3.09, 4 Ta 3.06-3.14
2 Ta 0.0021 0.0021 0.0043  3 Te 2.85-3.10, 3 Tl 2.91-3.09, 4 Ta 3.06-3.14
3 Tl 0.7500 0.7500 0.7500  6 Ta 2.91-3.09, 4 Te 3.10
4 Te 0.2500 0.2500 0.2500  6 Ta 2.85-3.10, 4 Tl 3.10

***

Please write out number 4 again, unchanged.
First-principles (GGA-PBE) data for a relaxed Ta2TlTe crystal, as listed in the Alexandria database.

## Properties
- Symmetry: C2/m
- Volume: 21.07 Å³/atom
- Energy above the most stable polymorph in this dataset: 0.364 eV/atom
- Uncorrected formation energy: 0.533 eV per atom

abc: 5.1107 5.1107 5.1759
angles: 83.08 83.08 38.95
Closest atoms and distances in Å follow each position.
Fractional coordinates of all 4 atoms:
1 Ta 0.4979 0.4979 0.4957  3 Te 2.85-3.10, 3 Tl 2.91-3.09, 4 Ta 3.06-3.14
2 Ta 0.0021 0.0021 0.0043  3 Te 2.85-3.10, 3 Tl 2.91-3.09, 4 Ta 3.06-3.14
3 Tl 0.7500 0.7500 0.7500  6 Ta 2.91-3.09, 4 Te 3.10
4 Te 0.2500 0.2500 0.2500  6 Ta 2.85-3.10, 4 Tl 3.10